# OsAu2Br

An optimized crystal structure of OsAu2Br (PBE, Alexandria via LeMat-Bulk).

The calculation puts the mass density at 14.2 g/cm³. Its polymorph energy (0 for the lowest one) is 67.2 meV per atom. As for the density of states at the Fermi level: 0.49 states/eV/atom. The total energy comes out at -33.38 eV per cell. Its formation energy without anion corrections is 0.691 eV/atom.

The structure belongs to space group Cmm2 (No. 35); the cell edges are 2.864, 5.263 and 10.337 Å and the angles 90.00°, 90.00° and 90.00°. The asymmetric unit holds Os at (0.000, 0.000, 0.000), Au at (0.000, 0.000, 0.471), Au at (0.000, 0.500, 0.227) and Br at (0.000, 0.500, 0.800).

***

# Mn2TlAu

An optimized crystal structure of Mn2TlAu (PBE, Alexandria via LeMat-Bulk).

The calculation puts the mass density at 11.8 g/cm³. Its polymorph energy (0 for the lowest one) is 23.2 meV per atom. For the calculated formation energy, the calculation gives 0.273 eV per atom. As for the density of states at the Fermi level: 0.79 states/eV/atom. The total energy comes out at -22.89 eV per cell.

The structure belongs to space group P4/mmm (No. 123); the cell edges are 4.350, 4.350 and 3.805 Å and the angles 90.00°, 90.00° and 90.00°. The asymmetric unit holds Mn at (0.000, 0.500, 0.000), Tl at (0.000, 0.000, 0.500) and Au at (0.500, 0.500, 0.500).

***

# Zr2SiPb

An optimized crystal structure of Zr2SiPb (PBE, Alexandria via LeMat-Bulk).

The calculation puts the mass density at 8.1 g/cm³. Its polymorph energy (0 for the lowest one) is 232.5 meV per atom. As for the density of states at the Fermi level: 0.35 states/eV/atom. The total energy comes out at -54.07 eV per cell. Its formation energy without anion corrections is -0.201 eV/atom.

The structure belongs to space group Cm (No. 8); the cell edges are 11.056, 3.113 and 5.119 Å and the angles 90.00°, 102.74° and 90.00°. The asymmetric unit holds Zr at (0.000, 0.000, 0.000), Zr at (0.217, 0.000, 0.606), Si at (0.493, 0.000, 0.518) and Pb at (0.252, 0.500, 0.128).

***

# LiCa2Zn

An optimized crystal structure of LiCa2Zn (PBE, Alexandria via LeMat-Bulk).

The calculation puts the mass density at 2.1 g/cm³. For the calculated formation energy, the calculation gives 0.112 eV per atom. As for the density of states at the Fermi level: 0.62 states/eV/atom. The total energy comes out at -26.97 eV per cell.

The structure belongs to space group I-42d (No. 122); the cell edges are 8.419, 8.419 and 6.896 Å and the angles 90.00°, 90.00° and 90.00°. The asymmetric unit holds Li at (0.000, 0.000, 0.000), Ca at (0.228, 0.250, 0.625) and Zn at (0.000, 0.000, 0.500).

***

# CaRhAu2

An optimized crystal structure of CaRhAu2 (PBE, Alexandria via LeMat-Bulk).

The calculation puts the mass density at 11.5 g/cm³. For the calculated formation energy, the calculation gives 0.172 eV per atom. As for the density of states at the Fermi level: 1.33 states/eV/atom. The total energy comes out at -45.66 eV per cell.

The structure belongs to space group R-3m (No. 166, hexagonal axes); the cell edges are 3.1265, 3.1265 and 27.4834 Å and the angles 90.00°, 90.00° and 120.00°. The asymmetric unit holds Ca at (0.0000, 0.0000, 0.0000), Rh at (0.0000, 0.0000, 0.5000) and Au at (0.0000, 0.0000, 0.2462).

***

# TaGeSb2C

An optimized crystal structure of TaGeSb2C (PBE, Alexandria via LeMat-Bulk).

The calculation puts the mass density at 6.9 g/cm³. As for the density of states at the Fermi level: 0.71 states/eV/atom. The total energy comes out at -29.24 eV per cell. Its formation energy without anion corrections is 0.940 eV/atom.

The structure belongs to space group P4/mmm (No. 123); the cell edges are 5.481, 5.481 and 4.059 Å and the angles 90.00°, 90.00° and 90.00°. The asymmetric unit holds Ta at (0.000, 0.000, 0.000), Ge at (0.500, 0.500, 0.500), Sb at (0.000, 0.500, 0.000) and C at (0.000, 0.000, 0.500).

***

Question: Look up the mass density of the fourth one.
Answer: 2.1 g/cm³